No. 1
First-principles (PBE) data for a relaxed PrAsI crystal, as listed in the Alexandria database.

```
PrAsI
1.0
-2.069 2.257 -4.158
-3.944 -1.536 -2.077
-7.784 7.693 4.843
As Pr I
2 2 2
Direct
0.431 0.718 0.420 As
0.569 0.282 0.580 As
0.824 0.013 0.338 Pr
0.176 0.987 0.662 Pr
0.755 0.663 0.827 I
0.245 0.337 0.173 I
```

Calculated values
The uncorrected formation energy comes out at -1.18 eV per atom. Its volume is 237.79 Å³/cell. For the total energy, the calculation gives -4.84 eV/atom. The value obtained for the energy above the lowest structure with this stoichiometry is 0.000 eV/atom.

---

No. 2
First-principles (PBE) data for a relaxed Li2BeOs crystal, as listed in the Alexandria database.

```
Li2BeOs
1.0
-4.042 -1.174 2.438
-0.878 -4.473 1.698
3.502 3.375 -0.075
Os Li Be
1 2 1
Direct
0.250 0.750 0.500 Os
0.000 0.000 0.000 Li
0.500 0.500 0.000 Li
0.750 0.250 0.500 Be
```

Calculated values
Its volume is 45.86 Å³/cell. For the total energy, the calculation gives -4.59 eV/atom. The density of states at the Fermi level is 0.383 states/eV per atom.

---

No. 3
First-principles (PBE) data for a relaxed Na6IrF12 crystal, as listed in the Alexandria database.

```
Na6IrF12
1.0
6.713 -0.016 -0.020
-1.034 6.633 -0.020
-1.034 -1.205 6.522
F Na Ir
12 6 1
Direct
0.609 0.398 0.832 F
0.391 0.602 0.168 F
0.731 0.893 0.037 F
0.893 0.037 0.731 F
0.107 0.963 0.269 F
0.037 0.731 0.893 F
0.832 0.609 0.398 F
0.398 0.832 0.609 F
0.168 0.391 0.602 F
0.269 0.107 0.963 F
0.963 0.269 0.107 F
0.602 0.168 0.391 F
0.602 0.369 0.157 Na
0.369 0.157 0.602 Na
0.631 0.843 0.398 Na
0.157 0.602 0.369 Na
0.398 0.631 0.843 Na
0.843 0.398 0.631 Na
0.000 0.000 0.000 Ir
```

Calculated values
The uncorrected formation energy comes out at -2.21 eV per atom. Its volume is 289.98 Å³/cell. For the total energy, the calculation gives -4.27 eV/atom. The density of states at the Fermi level is 0.735 states/eV per atom.